Compound: SmZn5CuPt2
Source: the Alexandria database
Functional: PBE
Structure: optimized geometry

Lattice parameters (Å, degrees): 4.8366 4.8366 7.4294 90.00 90.00 90.00
Last column: nearest neighbours and their distance in Å.
Fractional coordinates of all 9 atoms:
Sm  0.0000  0.0000  0.5000  12 Zn 3.33-3.42, 2 Cu 3.71
Zn  0.0000  0.5000  0.1909  2 Pt 2.42
Zn  0.5000  0.0000  0.1909  2 Pt 2.42
Zn  0.0000  0.5000  0.8091  2 Pt 2.42
Zn  0.5000  0.0000  0.8091  2 Pt 2.42
Zn  0.5000  0.5000  0.5000  2 Pt 2.37
Cu  0.0000  0.0000  0.0000  8 Zn 2.80
Pt  0.5000  0.5000  0.1807  5 Zn 2.37-2.42
Pt  0.5000  0.5000  0.8193  5 Zn 2.37-2.42

=====

Compound: SmZn2CuPt4
Source: the Alexandria database
Functional: PBE
Structure: optimized geometry

Lattice parameters (Å, degrees): 4.3487 4.3487 8.6785 75.49 75.49 60.00
Last column: nearest neighbours and their distance in Å.
Fractional coordinates of all 8 atoms:
Sm  0.0000  0.0000  0.0000  8 Pt 3.00-3.20
Zn  0.7606  0.7606  0.7183  7 Pt 2.61-2.76
Zn  0.2394  0.2394  0.2817  7 Pt 2.61-2.76
Cu  0.5000  0.5000  0.5000  8 Pt 2.51-2.68
Pt  0.3992  0.3992  0.8023  1 Cu 2.51, 3 Zn 2.61
Pt  0.8715  0.8715  0.3856  4 Zn 2.65-2.76, 3 Cu 2.68, 3 Pt 2.96
Pt  0.1285  0.1285  0.6144  4 Zn 2.65-2.76, 3 Cu 2.68, 3 Pt 2.96
Pt  0.6008  0.6008  0.1977  1 Cu 2.51, 3 Zn 2.61

=====

Compound: Sm2Zn4CuPt3
Source: the Alexandria database
Functional: PBE
Structure: optimized geometry

Lattice parameters (Å, degrees): 3.9779 3.9779 11.7754 90.00 90.00 90.00
Last column: nearest neighbours and their distance in Å.
Fractional coordinates of all 10 atoms:
Sm  0.5000  0.0000  0.2448  4 Pt 3.03, 4 Zn 3.16
Sm  0.0000  0.5000  0.7552  4 Pt 3.03, 4 Zn 3.16
Zn  0.5000  0.5000  0.0000  4 Pt 2.64, 4 Zn 2.81
Zn  0.0000  0.0000  0.0000  4 Pt 2.64, 4 Zn 2.81
Zn  0.5000  0.0000  0.6332  2 Cu 2.53, 3 Pt 2.53-2.58
Zn  0.0000  0.5000  0.3668  2 Cu 2.53, 3 Pt 2.53-2.58
Cu  0.5000  0.5000  0.5000  4 Zn 2.53, 4 Pt 2.81
Pt  0.0000  0.0000  0.5000  4 Zn 2.53, 4 Cu 2.81
Pt  0.5000  0.0000  0.8519  5 Zn 2.58-2.64
Pt  0.0000  0.5000  0.1481  5 Zn 2.58-2.64

=====

Compound: Sm2Zn2CuPt5
Source: the Alexandria database
Functional: PBE
Structure: optimized geometry

Lattice parameters (Å, degrees): 3.7910 9.6454 9.6454 90.00 90.00 90.00
Last column: nearest neighbours and their distance in Å.
Fractional coordinates of all 20 atoms:
Sm  0.0000  0.6767  0.1767  3 Zn 2.74-2.93
Sm  0.0000  0.3233  0.8233  3 Zn 2.74-2.93
Sm  0.0000  0.1767  0.3233  3 Zn 2.74-2.93
Sm  0.0000  0.8233  0.6767  3 Zn 2.74-2.93
Zn  0.0000  0.1227  0.6227  6 Pt 2.53-2.62, 1 Sm 2.74
Zn  0.0000  0.8773  0.3773  6 Pt 2.53-2.62, 1 Sm 2.74
Zn  0.0000  0.6227  0.8773  6 Pt 2.53-2.62, 1 Sm 2.74
Zn  0.0000  0.3773  0.1227  6 Pt 2.53-2.62, 1 Sm 2.74
Cu  0.0000  0.0000  0.0000  8 Pt 2.77
Cu  0.0000  0.5000  0.5000  8 Pt 2.77
Pt  0.5000  0.2003  0.0623  2 Zn 2.62, 2 Cu 2.77, 2 Pt 2.86
Pt  0.5000  0.7997  0.9377  2 Zn 2.62, 2 Cu 2.77, 2 Pt 2.86
Pt  0.5000  0.0623  0.7997  2 Zn 2.62, 2 Cu 2.77, 2 Pt 2.86
Pt  0.5000  0.7003  0.4377  2 Zn 2.62, 2 Cu 2.77, 2 Pt 2.86
Pt  0.5000  0.9377  0.2003  2 Zn 2.62, 2 Cu 2.77, 2 Pt 2.86
Pt  0.5000  0.2997  0.5623  2 Zn 2.62, 2 Cu 2.77, 2 Pt 2.86
Pt  0.5000  0.5623  0.7003  2 Zn 2.62, 2 Cu 2.77, 2 Pt 2.86
Pt  0.5000  0.4377  0.2997  2 Zn 2.62, 2 Cu 2.77, 2 Pt 2.86
Pt  0.5000  0.5000  0.0000  4 Zn 2.53
Pt  0.5000  0.0000  0.5000  4 Zn 2.53

=====

Compound: SmZnCuPt
Source: the Alexandria database
Functional: PBE
Structure: optimized geometry

Lattice parameters (Å, degrees): 4.7213 4.7213 4.7213 60.00 60.00 60.00
Last column: nearest neighbours and their distance in Å.
Fractional coordinates of all 4 atoms:
Zn  0.5000  0.5000  0.5000  4 Cu 2.89, 4 Pt 2.89
Cu  0.2500  0.2500  0.2500  4 Sm 2.89, 4 Zn 2.89
Sm  0.0000  0.0000  0.0000  4 Pt 2.89, 4 Cu 2.89
Pt  0.7500  0.7500  0.7500  4 Sm 2.89, 4 Zn 2.89

=====

Compound: Sm2ZnCuPt6
Source: the Alexandria database
Functional: PBE
Structure: optimized geometry

Lattice parameters (Å, degrees): 6.6045 6.6045 6.6045 60.00 60.00 90.00
Last column: nearest neighbours and their distance in Å.
Fractional coordinates of all 10 atoms:
Sm  0.2500  0.7500  0.5000  12 Pt 3.30
Sm  0.7500  0.2500  0.5000  12 Pt 3.30
Zn  0.5000  0.5000  0.0000  6 Pt 2.34
Cu  0.0000  0.0000  0.0000  6 Pt 2.33
Pt  0.2497  0.7503  0.0000  1 Cu 2.33, 1 Zn 2.34
Pt  0.7503  0.7503  0.0000  1 Cu 2.33, 1 Zn 2.34
Pt  0.2497  0.2497  0.5007  1 Cu 2.33, 1 Zn 2.34
Pt  0.7503  0.2497  0.0000  1 Cu 2.33, 1 Zn 2.34
Pt  0.2497  0.2497  0.0000  1 Cu 2.33, 1 Zn 2.34
Pt  0.7503  0.7503  0.4993  1 Cu 2.33, 1 Zn 2.34

=====

Compound: Sm2ZnCu2Pt5
Source: the Alexandria database
Functional: PBE
Structure: optimized geometry

Lattice parameters (Å, degrees): 3.9067 9.4318 9.4318 90.00 90.00 90.00
Last column: nearest neighbours and their distance in Å.
Fractional coordinates of all 20 atoms:
Sm  0.0000  0.6765  0.1765  3 Cu 2.69-2.86
Sm  0.0000  0.3235  0.8235  3 Cu 2.69-2.86
Sm  0.0000  0.1765  0.3235  3 Cu 2.69-2.86
Sm  0.0000  0.8235  0.6765  3 Cu 2.69-2.86
Zn  0.0000  0.0000  0.0000  8 Pt 2.81
Zn  0.0000  0.5000  0.5000  8 Pt 2.81
Cu  0.0000  0.1218  0.6218  6 Pt 2.54-2.61, 1 Sm 2.69
Cu  0.0000  0.8782  0.3782  6 Pt 2.54-2.61, 1 Sm 2.69
Cu  0.0000  0.6218  0.8782  6 Pt 2.54-2.61, 1 Sm 2.69
Cu  0.0000  0.3782  0.1218  6 Pt 2.54-2.61, 1 Sm 2.69
Pt  0.5000  0.2038  0.0666  2 Cu 2.61, 2 Zn 2.81, 3 Pt 2.86
Pt  0.5000  0.7962  0.9334  2 Cu 2.61, 2 Zn 2.81, 3 Pt 2.86
Pt  0.5000  0.0666  0.7962  2 Cu 2.61, 2 Zn 2.81, 3 Pt 2.86
Pt  0.5000  0.7038  0.4334  2 Cu 2.61, 2 Zn 2.81, 3 Pt 2.86
Pt  0.5000  0.9334  0.2038  2 Cu 2.61, 2 Zn 2.81, 3 Pt 2.86
Pt  0.5000  0.2962  0.5666  2 Cu 2.61, 2 Zn 2.81, 3 Pt 2.86
Pt  0.5000  0.5666  0.7038  2 Cu 2.61, 2 Zn 2.81, 3 Pt 2.86
Pt  0.5000  0.4334  0.2962  2 Cu 2.61, 2 Zn 2.81, 3 Pt 2.86
Pt  0.5000  0.5000  0.0000  4 Cu 2.54
Pt  0.5000  0.0000  0.5000  4 Cu 2.54

=====

Compound: SmZn3CuPt
Source: the Alexandria database
Functional: PBE
Structure: optimized geometry

Lattice parameters (Å, degrees): 5.4259 7.8463 6.7757 125.38 90.00 90.00
Last column: nearest neighbours and their distance in Å.
Fractional coordinates of all 12 atoms:
Sm  0.7500  0.3017  0.6035  1 Cu 2.83, 2 Pt 2.94, 2 Zn 3.06
Sm  0.2500  0.6983  0.3965  1 Cu 2.83, 2 Pt 2.94, 2 Zn 3.06
Zn  0.2500  0.1730  0.3460  1 Cu 2.41, 1 Pt 2.55
Zn  0.0000  0.2532  0.0000  2 Cu 2.46, 2 Pt 2.59, 2 Zn 2.71
Zn  0.5000  0.7468  0.0000  2 Cu 2.46, 2 Pt 2.59, 2 Zn 2.71
Zn  0.5000  0.2532  0.0000  2 Cu 2.46, 2 Pt 2.59, 2 Zn 2.71
Zn  0.0000  0.7468  0.0000  2 Cu 2.46, 2 Pt 2.59, 2 Zn 2.71
Zn  0.7500  0.8270  0.6540  1 Cu 2.41, 1 Pt 2.55
Cu  0.2500  0.9547  0.9094  5 Zn 2.41-2.46
Cu  0.7500  0.0453  0.0906  5 Zn 2.41-2.46
Pt  0.2500  0.4042  0.8085  5 Zn 2.55-2.59
Pt  0.7500  0.5958  0.1915  5 Zn 2.55-2.59

=====

Compound: SmZrCuPt
Source: the Alexandria database
Functional: PBE
Structure: optimized geometry

Lattice parameters (Å, degrees): 4.8621 4.8621 4.8621 60.00 60.00 60.00
Last column: nearest neighbours and their distance in Å.
Fractional coordinates of all 4 atoms:
Zr  0.2500  0.2500  0.2500  4 Pt 2.98, 4 Cu 2.98
Cu  0.0000  0.0000  0.0000  4 Zr 2.98, 4 Sm 2.98
Sm  0.7500  0.7500  0.7500  4 Cu 2.98, 4 Pt 2.98
Pt  0.5000  0.5000  0.5000  4 Sm 2.98, 4 Zr 2.98

=====

Compound: CuSn3Pt
Source: the Alexandria database
Functional: PBE
Structure: optimized geometry

Results
Energy above the lowest structure with this stoichiometry = 0 meV/atom

Lattice parameters (Å, degrees): 5.2314 5.2314 5.2314 90.00 90.00 90.00
Last column: nearest neighbours and their distance in Å.
Fractional coordinates of all 5 atoms:
Cu  0.5000  0.5000  0.5000  12 Sn 3.70
Sn  0.0000  0.5000  0.0000  2 Pt 2.62
Sn  0.0000  0.0000  0.5000  2 Pt 2.62
Sn  0.5000  0.0000  0.0000  2 Pt 2.62
Pt  0.0000  0.0000  0.0000  6 Sn 2.62

=====

| no. | mass density (g/cm³) | formation energy from the elements (meV/atom) | DFT total energy (eV/atom) |
| --- | --- | --- | --- |
| 1 | 8.90 | -154 | -3.18 |
| 2 | 13.73 | -590 | -5.03 |
| 3 | 10.79 | -663 | -4.34 |
| 4 | 13.85 | -722 | -5.35 |
| 5 | 10.59 | -485 | -4.52 |
| 6 | 13.04 | -219 | -5.32 |
| 7 | 14.03 | -752 | -5.66 |
| 8 | 8.55 | -293 | -3.41 |
| 9 | 10.22 | -511 | -6.36 |
| 10 | 7.13 | 393 | -4.04 |